# PBE GaCoPtAu, optimized geometry
# distance to the lowest polymorph of the same formula = 0 meV/atom
# VASP energy = -0.1804 Ha/atom
data_GaCoPtAu
_chemical_formula_sum 'Ga4 Co4 Pt4 Au4'
_symmetry_space_group_name_H-M 'F -4 3 m'
_symmetry_Int_Tables_number 216
_symmetry_space_group_name_Hall 'F -4 2 3'
_cell_length_a 6.208
_cell_length_b 6.208
_cell_length_c 6.208
_cell_angle_alpha 90.00
_cell_angle_beta 90.00
_cell_angle_gamma 90.00
loop_
_atom_site_label
_atom_site_fract_x
_atom_site_fract_y
_atom_site_fract_z
Ga1 0.000 0.000 0.000
Co1 0.250 0.250 0.250
Pt1 0.250 0.250 0.750
Au1 0.000 0.000 0.500